No. 1
A plane-wave DFT calculation with PBE-GGA was carried out for an optimized crystal structure of ReAs2Pb.

Calculated values
Total magnetization   0.00 μB per formula unit
Volume   82 Å³ per cell
Crystal system   tetragonal
VASP energy   -6.24 eV/atom
Energy of formation   121.7 meV/atom

Lattice parameters (Å, degrees): 3.1286 3.1290 8.3634 90.00 90.00 90.00
Closest atoms and distances in Å follow each position.
Fractional coordinates of all 4 atoms:
Re  0.5000  0.5000  0.7500  8 As 2.67
As  0.0000  0.0000  0.5723  4 Re 2.67, 1 As 2.97
As  0.0000  0.0000  0.9277  4 Re 2.67, 1 As 2.97
Pb  0.5000  0.5000  0.2500  4 Pb 3.13, 8 As 3.49

***

No. 2
A plane-wave DFT calculation with PBE-GGA was carried out for an optimized crystal structure of Cu3Pt.

Calculated values
Total magnetization   0.00 μB per formula unit
Volume   52 Å³ per cell
Crystal system   cubic
VASP energy   -4.68 eV/atom
Energy of formation   -94.7 meV/atom

Lattice parameters (Å, degrees): 4.1890 4.1890 4.1890 60.00 60.00 60.00
Closest atoms and distances in Å follow each position.
Fractional coordinates of all 4 atoms:
Cu  0.7500  0.7500  0.7500  8 Cu 2.57
Cu  0.5000  0.5000  0.5000  4 Cu 2.57, 4 Pt 2.57
Cu  0.0000  0.0000  0.0000  4 Pt 2.57, 4 Cu 2.57
Pt  0.2500  0.2500  0.2500  8 Cu 2.57

***

No. 3
A plane-wave DFT calculation with PBE-GGA was carried out for an optimized crystal structure of Al2Re2W.

Calculated values
Total magnetization   0.00 μB per formula unit
Volume   148 Å³ per cell
Crystal system   tetragonal
VASP energy   -8.89 eV/atom
Energy of formation   179.1 meV/atom

Lattice parameters (Å, degrees): 6.8890 6.8890 3.1154 90.00 90.00 90.00
Closest atoms and distances in Å follow each position.
Fractional coordinates of all 10 atoms:
Re  0.3350  0.1650  0.5000  6 Al 2.52-2.58
Re  0.6650  0.8350  0.5000  6 Al 2.52-2.58
Re  0.1650  0.6650  0.5000  6 Al 2.52-2.58
Re  0.8350  0.3350  0.5000  6 Al 2.52-2.58
Al  0.1316  0.3684  0.0000  6 Re 2.52-2.58, 1 Al 2.56, 2 W 2.69
Al  0.6316  0.1316  0.0000  6 Re 2.52-2.58, 1 Al 2.56, 2 W 2.69
Al  0.8684  0.6316  0.0000  6 Re 2.52-2.58, 1 Al 2.56, 2 W 2.69
Al  0.3684  0.8684  0.0000  6 Re 2.52-2.58, 1 Al 2.56, 2 W 2.69
W  0.5000  0.5000  0.0000  4 Al 2.69, 8 Re 3.01
W  0.0000  0.0000  0.0000  4 Al 2.69, 8 Re 3.01

***

No. 4
A plane-wave DFT calculation with PBE-GGA was carried out for an optimized crystal structure of ThTc4Sb12.

Calculated values
Total magnetization   0.00 μB per formula unit
Volume   427 Å³ per cell
Crystal system   cubic
Raw formation energy   -0.1098 eV per atom
VASP energy   -5.90 eV/atom

Lattice parameters (Å, degrees): 8.2177 8.2177 8.2177 109.47 109.47 109.47
Closest atoms and distances in Å follow each position.
Fractional coordinates of all 17 atoms:
Tc  0.5000  0.0000  0.0000  6 Sb 2.65
Tc  0.5000  0.5000  0.5000  6 Sb 2.65
Tc  0.0000  0.0000  0.5000  6 Sb 2.65
Tc  0.0000  0.5000  0.0000  6 Sb 2.65
Sb  0.1564  0.3322  0.4886  2 Tc 2.65
Sb  0.1564  0.6678  0.8242  2 Tc 2.65
Sb  0.6678  0.5114  0.8436  2 Tc 2.65
Sb  0.4886  0.1564  0.3322  2 Tc 2.65
Sb  0.3322  0.4886  0.1564  2 Tc 2.65
Sb  0.6678  0.8242  0.1564  2 Tc 2.65
Sb  0.3322  0.1758  0.8436  2 Tc 2.65
Sb  0.8242  0.1564  0.6678  2 Tc 2.65
Sb  0.8436  0.3322  0.1758  2 Tc 2.65
Sb  0.5114  0.8436  0.6678  2 Tc 2.65
Sb  0.8436  0.6678  0.5114  2 Tc 2.65
Sb  0.1758  0.8436  0.3322  2 Tc 2.65
Th  0.0000  0.0000  0.0000  12 Sb 3.48

***

No. 5
A plane-wave DFT calculation with PBE-GGA was carried out for an optimized crystal structure of CdReTc.

Calculated values
Energy relative to the lowest polymorph listed for this composition   4.70 kJ per mole of atoms
Total magnetization   0.00 μB per formula unit
Volume   49 Å³ per cell
Crystal system   trigonal
VASP energy   -7.70 eV/atom
Energy of formation   207.3 meV/atom

Lattice parameters (Å, degrees): 2.8268 2.8268 7.1342 90.00 90.00 120.00
Closest atoms and distances in Å follow each position.
Fractional coordinates of all 3 atoms:
Cd  0.0000  0.0000  0.9987  6 Cd 2.83, 3 Tc 3.01, 3 Re 3.04
Re  0.6667  0.3333  0.3580  3 Tc 2.61, 6 Re 2.83
Tc  0.3333  0.6667  0.6434  3 Re 2.61, 6 Tc 2.83

***

No. 6
A plane-wave DFT calculation with PBE-GGA was carried out for an optimized crystal structure of SrGeSeBr2.

Calculated values
Energy relative to the lowest polymorph listed for this composition   50.00 kJ per mole of atoms
Total magnetization   0.00 μB per formula unit
Volume   196 Å³ per cell
Crystal system   tetragonal
Raw formation energy   -0.4141 eV per atom
VASP energy   -3.04 eV/atom

Lattice parameters (Å, degrees): 5.6689 5.6689 6.0963 90.00 90.00 90.00
Closest atoms and distances in Å follow each position.
Fractional coordinates of all 5 atoms:
Sr  0.0000  0.0000  0.0000  4 Br 2.83, 2 Se 3.05
Se  0.0000  0.0000  0.5000  2 Sr 3.05
Br  0.5000  0.0000  0.0000  2 Sr 2.83
Br  0.0000  0.5000  0.0000  2 Sr 2.83
Ge  0.5000  0.5000  0.5000  4 Se 4.01, 8 Br 4.16

***

No. 7
A plane-wave DFT calculation with PBE-GGA was carried out for an optimized crystal structure of HfSeSN2.

Calculated values
Energy relative to the lowest polymorph listed for this composition   44.49 kJ per mole of atoms
Total magnetization   0.00 μB per formula unit
Volume   67 Å³ per cell
Crystal system   tetragonal
Raw formation energy   0.9999 eV per atom
VASP energy   -5.84 eV/atom

Lattice parameters (Å, degrees): 3.7794 3.7794 4.6800 90.00 90.00 90.00
Closest atoms and distances in Å follow each position.
Fractional coordinates of all 5 atoms:
N  0.0000  0.5000  0.0000  2 S 1.89
N  0.5000  0.0000  0.0000  2 S 1.89
Hf  0.5000  0.5000  0.5000  4 Se 2.67
S  0.0000  0.0000  0.0000  4 N 1.89
Se  0.0000  0.0000  0.5000  2 S 2.34

***

No. 8
A plane-wave DFT calculation with PBE-GGA was carried out for an optimized crystal structure of CeSm3.

Calculated values
Energy relative to the lowest polymorph listed for this composition   1.35 kJ per mole of atoms
Total magnetization   1.19 μB per formula unit
Volume   133 Å³ per cell
Crystal system   orthorhombic
VASP energy   -4.93 eV/atom
Energy of formation   91.6 meV/atom

Lattice parameters (Å, degrees): 3.6079 5.8359 6.3202 90.00 90.00 90.00
Closest atoms and distances in Å follow each position.
Fractional coordinates of all 4 atoms:
Sm  0.5000  0.5000  0.8334  8 Sm 3.57-3.68, 4 Ce 3.59
Sm  0.5000  0.0000  0.5066  8 Sm 3.57-3.62, 4 Ce 3.61-3.67
Sm  0.0000  0.5000  0.3257  2 Ce 3.57, 10 Sm 3.60-3.68
Ce  0.0000  0.0000  0.0009  10 Sm 3.57-3.67, 2 Ce 3.61

***

No. 9
A plane-wave DFT calculation with PBE-GGA was carried out for an optimized crystal structure of Ca2SmGd.

Calculated values
Energy relative to the lowest polymorph listed for this composition   0.06 kJ per mole of atoms
Total magnetization   8.61 μB per formula unit
Volume   147 Å³ per cell
Crystal system   tetragonal
VASP energy   -5.56 eV/atom
Energy of formation   144.3 meV/atom

Lattice parameters (Å, degrees): 5.4889 5.1816 5.1816 90.00 90.00 90.00
Closest atoms and distances in Å follow each position.
Fractional coordinates of all 4 atoms:
Ca  0.0000  0.5000  0.0000  4 Ca 3.66, 4 Gd 3.77, 4 Sm 3.77
Ca  0.0000  0.0000  0.5000  4 Ca 3.66, 4 Gd 3.77, 4 Sm 3.77
Gd  0.5000  0.0000  0.0000  4 Sm 3.66, 8 Ca 3.77
Sm  0.5000  0.5000  0.5000  4 Gd 3.66, 8 Ca 3.77

***

No. 10
A plane-wave DFT calculation with PBE-GGA was carried out for an optimized crystal structure of VInBr2.

Calculated values
Energy relative to the lowest polymorph listed for this composition   14.01 kJ per mole of atoms
Total magnetization   3.55 μB per formula unit
Volume   237 Å³ per cell
Crystal system   tetragonal
Raw formation energy   -0.2633 eV per atom
VASP energy   -4.06 eV/atom

Lattice parameters (Å, degrees): 8.9986 8.9986 7.0027 50.02 50.02 90.00
Closest atoms and distances in Å follow each position.
Fractional coordinates of all 8 atoms:
Br  0.3750  0.5010  0.7500  2 V 2.62
Br  0.8750  0.7490  0.7500  2 V 2.62
Br  0.4990  0.1250  0.2500  2 V 2.62
Br  0.2510  0.6250  0.2500  2 V 2.62
In  0.7500  0.2500  0.5000  2 V 2.92
In  0.0000  0.0000  0.0000  2 V 2.92
V  0.5000  0.5000  0.0000  4 Br 2.62, 2 In 2.92
V  0.2500  0.7500  0.5000  4 Br 2.62, 2 In 2.92

***

No. 11
A plane-wave DFT calculation with PBE-GGA was carried out for an optimized crystal structure of Li3TcCl.

Calculated values
Energy relative to the lowest polymorph listed for this composition   0.00 kJ per mole of atoms
Total magnetization   3.08 μB per formula unit
Volume   95 Å³ per cell
Crystal system   cubic
Raw formation energy   0.2087 eV per atom
VASP energy   -3.38 eV/atom

Lattice parameters (Å, degrees): 4.5653 4.5653 4.5653 90.00 90.00 90.00
Closest atoms and distances in Å follow each position.
Fractional coordinates of all 5 atoms:
Tc  0.5000  0.5000  0.5000  12 Li 3.23
Li  0.0000  0.5000  0.0000  2 Cl 2.28
Li  0.5000  0.0000  0.0000  2 Cl 2.28
Li  0.0000  0.0000  0.5000  2 Cl 2.28
Cl  0.0000  0.0000  0.0000  6 Li 2.28

***

No. 12
A plane-wave DFT calculation with PBE-GGA was carried out for an optimized crystal structure of AcSiPRh6.

Calculated values
Total magnetization   0.00 μB per formula unit
Volume   334 Å³ per cell
Crystal system   orthorhombic
Raw formation energy   -0.3162 eV per atom
VASP energy   -6.88 eV/atom

Lattice parameters (Å, degrees): 6.9095 8.6105 7.8716 123.16 116.03 90.00
Closest atoms and distances in Å follow each position.
Fractional coordinates of all 18 atoms:
Si  0.5000  0.0000  0.5000  6 Rh 2.33-2.40
Si  0.0000  0.0000  0.5000  6 Rh 2.33-2.40
Rh  0.8706  0.1077  0.2573  1 P 2.22, 1 Si 2.40
Rh  0.8889  0.1389  0.7777  2 Si 2.33
Rh  0.5667  0.3167  0.1334  2 P 2.28
Rh  0.3868  0.1077  0.2573  1 P 2.22, 1 Si 2.40
Rh  0.4333  0.6833  0.8666  2 P 2.28
Rh  0.6132  0.3504  0.7427  1 P 2.22, 1 Si 2.40
Rh  0.6132  0.8923  0.7427  1 P 2.22, 1 Si 2.40
Rh  0.1294  0.8923  0.7427  1 P 2.22, 1 Si 2.40
Rh  0.1294  0.3504  0.7427  1 P 2.22, 1 Si 2.40
Rh  0.1111  0.8611  0.2223  2 Si 2.33
Rh  0.3868  0.6496  0.2573  1 P 2.22, 1 Si 2.40
Rh  0.8706  0.6496  0.2573  1 P 2.22, 1 Si 2.40
P  0.5000  0.5000  0.0000  6 Rh 2.22-2.28
P  0.5000  0.0000  0.0000  6 Rh 2.22-2.28
Ac  0.8383  0.5883  0.6766  6 Rh 2.96-3.06
Ac  0.1617  0.4117  0.3234  6 Rh 2.96-3.06

***

No. 13
A plane-wave DFT calculation with PBE-GGA was carried out for an optimized crystal structure of MnPbAu3.

Calculated values
Energy relative to the lowest polymorph listed for this composition   0.00 kJ per mole of atoms
Total magnetization   4.36 μB per formula unit
Volume   123 Å³ per cell
Crystal system   cubic
VASP energy   -4.15 eV/atom
Energy of formation   395.8 meV/atom

Lattice parameters (Å, degrees): 4.9794 4.9794 4.9794 90.00 90.00 90.00
Closest atoms and distances in Å follow each position.
Fractional coordinates of all 5 atoms:
Mn  0.0000  0.0000  0.0000  6 Au 2.49
Au  0.0000  0.0000  0.5000  2 Mn 2.49
Au  0.0000  0.5000  0.0000  2 Mn 2.49
Au  0.5000  0.0000  0.0000  2 Mn 2.49
Pb  0.5000  0.5000  0.5000  12 Au 3.52